Entry from the Alexandria database: a relaxed structure of TiSnS4 (PBE-GGA).

Cell lengths 3.5492, 6.4798, 6.3059 Å; angles 88.89, 90.00, 90.00 degrees
Fractional coordinates of all 6 atoms:
S (0.5000, 0.2179, 0.8469)
S (0.0000, 0.2239, 0.3184)
Ti (0.0000, 0.0000, 0.0000)
S (0.5000, 0.7821, 0.1531)
Sn (0.5000, 0.0000, 0.5000)
S (0.0000, 0.7761, 0.6816)

The calculated volume comes out at 145.0 Å³ per cell. The calculation puts the energy at -5.49 eV per atom. Its space group is P2/m, No. 10. The calculation puts the total magnetization at 0.000 μB per atom. The value obtained for the uncorrected formation energy is -0.755 eV/atom.

***

Entry from the Alexandria database: a relaxed structure of LiTaPt (PBE-GGA).

Cell lengths 4.3572, 4.3572, 2.7493 Å; angles 90.00, 90.00, 120.00 degrees
Fractional coordinates of all 3 atoms:
Pt (0.6667, 0.3333, 0.2470)
Ta (0.3333, 0.6667, 0.6740)
Li (0.0000, 0.0000, 0.0791)

The calculated volume comes out at 45.2 Å³ per cell. The calculation puts the energy at -6.93 eV per atom. The calculation puts the relative energy among the computed polymorphs at 0 meV per atom. Its space group is P3m1, No. 156. The calculation puts the total magnetization at 0.000 μB per atom.

***

Entry from the Alexandria database: a relaxed structure of NaBi2Au (PBE-GGA).

Cell lengths 3.6100, 3.6100, 10.8888 Å; angles 80.46, 80.46, 60.00 degrees
Fractional coordinates of all 4 atoms:
Au (0.5000, 0.5000, 0.5000)
Bi (0.9004, 0.9004, 0.2988)
Bi (0.0996, 0.0996, 0.7012)
Na (0.0000, 0.0000, 0.0000)

The calculated volume comes out at 120.6 Å³ per cell. The calculation puts the energy at -3.06 eV per atom. The calculation puts the relative energy among the computed polymorphs at 206 meV per atom. Its space group is R-3m, No. 166. The calculation puts the total magnetization at 0.000 μB per atom.

***

Entry from the Alexandria database: a relaxed structure of YRe2TcB (PBE-GGA).

Cell lengths 4.1362, 4.7196, 4.1362 Å; angles 90.00, 90.00, 90.00 degrees
Fractional coordinates of all 5 atoms:
Tc (0.5000, 0.5000, 0.5000)
B (0.0000, 0.0000, 0.0000)
Re (0.0000, 0.0000, 0.5000)
Re (0.5000, 0.0000, 0.0000)
Y (0.0000, 0.5000, 0.0000)

The calculated volume comes out at 80.7 Å³ per cell. The calculation puts the energy at -9.26 eV per atom. Its space group is P4/mmm, No. 123. The calculation puts the total magnetization at 0.000 μB per atom.

***

Entry from the Alexandria database: a relaxed structure of PH2Au (PBE-GGA).

Cell lengths 5.1698, 5.1698, 5.1698 Å; angles 60.00, 60.00, 90.00 degrees
Fractional coordinates of all 8 atoms:
Au (0.0000, 0.0000, 0.0000)
P (0.5000, 0.5000, 0.0000)
H (0.8750, 0.6528, 0.7500)
H (0.4028, 0.1250, 0.2500)
P (0.2500, 0.7500, 0.5000)
H (0.3750, 0.5972, 0.7500)
Au (0.7500, 0.2500, 0.5000)
H (0.3472, 0.6250, 0.2500)

The calculated volume comes out at 97.7 Å³ per cell. The calculation puts the energy at -3.22 eV per atom. The calculation puts the relative energy among the computed polymorphs at 653 meV per atom. Its space group is I-42d, No. 122. The calculation puts the total magnetization at 0.000 μB per atom.

***

Entry from the Alexandria database: a relaxed structure of SrAlZnPt (PBE-GGA).

Cell lengths 4.3896, 4.3896, 6.1038 Å; angles 68.93, 68.93, 60.00 degrees
Fractional coordinates of all 4 atoms:
Sr (0.8110, 0.8110, 0.5671)
Zn (0.0057, 0.0057, 0.9828)
Pt (0.6197, 0.6197, 0.1409)
Al (0.2895, 0.2895, 0.1316)

The calculated volume comes out at 92.7 Å³ per cell. The calculation puts the energy at -3.88 eV per atom. Its space group is R3m, No. 160. The calculation puts the total magnetization at 0.000 μB per atom.

***

Entry from the Alexandria database: a relaxed structure of Rb2SrMoBr (PBE-GGA).

Cell lengths 6.7210, 5.9409, 6.7210 Å; angles 90.00, 90.00, 90.00 degrees
Last column: magnetic moment on the atom in μB.
Fractional coordinates of all 5 atoms:
Mo (0.0000, 0.0000, 0.0000)  2.69
Br (0.5000, 0.5000, 0.5000)  0.01
Rb (0.5000, 0.0000, 0.0000)  0.04
Rb (0.0000, 0.0000, 0.5000)  0.02
Sr (0.0000, 0.5000, 0.0000)  0.01

The calculated volume comes out at 268.4 Å³ per cell. The calculation puts the energy at -2.59 eV per atom. Its space group is P4/mmm, No. 123. The calculation puts the total magnetization at 0.717 μB per atom. The value obtained for the uncorrected formation energy is 0.631 eV/atom.

***

Entry from the Alexandria database: a relaxed structure of DyYCu3 (PBE-GGA).

Cell lengths 3.6463, 4.2900, 12.8171 Å; angles 90.00, 98.18, 90.00 degrees
Fractional coordinates of all 10 atoms:
Y (0.9289, 0.7500, 0.8579)
Dy (0.7962, 0.2500, 0.5925)
Y (0.0711, 0.2500, 0.1421)
Cu (0.6714, 0.2500, 0.3428)
Dy (0.2037, 0.7500, 0.4075)
Cu (0.5227, 0.7500, 0.0455)
Cu (0.4773, 0.2500, 0.9545)
Cu (0.3286, 0.7500, 0.6572)
Cu (0.6180, 0.7500, 0.2360)
Cu (0.3820, 0.2500, 0.7640)

The calculated volume comes out at 198.5 Å³ per cell. The calculation puts the energy at -4.92 eV per atom. Its space group is Cmcm, No. 63. The calculation puts the total magnetization at 0.000 μB per atom.

***

Entry from the Alexandria database: a relaxed structure of BaNpPdO6 (PBE-GGA).

Cell lengths 5.4069, 5.4069, 11.9342 Å; angles 90.00, 90.00, 120.00 degrees
Last column: magnetic moment on the atom in μB.
Fractional coordinates of all 18 atoms:
O (0.3716, 0.0042, 0.6533)  -0.03
O (0.3675, 0.3716, 0.3467)  -0.03
O (0.6284, 0.9958, 0.3467)  -0.03
O (0.0042, 0.6325, 0.3467)  -0.03
O (0.0042, 0.3716, 0.1533)  -0.03
Np (0.3333, 0.6667, 0.7500)  1.23
O (0.9958, 0.6284, 0.8467)  -0.03
O (0.6284, 0.6325, 0.1533)  -0.03
Ba (0.0000, 0.0000, 0.0000)  0.00
Pd (0.6667, 0.3333, 0.7500)  0.03
O (0.6325, 0.0042, 0.8467)  -0.03
O (0.3675, 0.9958, 0.1533)  -0.03
O (0.6325, 0.6284, 0.6533)  -0.03
Ba (0.0000, 0.0000, 0.5000)  0.00
Pd (0.3333, 0.6667, 0.2500)  0.03
O (0.9958, 0.3675, 0.6533)  -0.03
Np (0.6667, 0.3333, 0.2500)  1.23
O (0.3716, 0.3675, 0.8467)  -0.03

The calculated volume comes out at 302.2 Å³ per cell. The calculation puts the energy at -7.59 eV per atom. Its space group is P-31c, No. 163. The calculation puts the total magnetization at 0.118 μB per atom. The value obtained for the uncorrected formation energy is -2.061 eV/atom.

***

Entry from the Alexandria database: a relaxed structure of Ti2MnCo3 (PBE-GGA).

Cell lengths 2.9961, 4.1231, 6.5281 Å; angles 108.41, 90.00, 90.00 degrees
Last column: magnetic moment on the atom in μB.
Fractional coordinates of all 6 atoms:
Ti (0.0000, 0.3372, 0.6744)  -0.26
Co (0.5000, 0.8315, 0.6631)  1.00
Co (0.5000, 0.1685, 0.3369)  1.00
Mn (0.0000, 0.0000, 0.0000)  3.23
Ti (0.0000, 0.6628, 0.3256)  -0.26
Co (0.5000, 0.5000, 0.0000)  1.12

The calculated volume comes out at 76.5 Å³ per cell. The calculation puts the energy at -8.02 eV per atom. Its space group is Cmmm, No. 65. The calculation puts the total magnetization at 0.960 μB per atom.

***

Entry from the Alexandria database: a relaxed structure of B2C (PBE-GGA).

Cell lengths 2.4638, 2.3665, 14.0446 Å; angles 90.00, 90.00, 90.00 degrees
Fractional coordinates of all 12 atoms:
C (0.0000, 0.5000, 0.0914)
B (0.5000, 0.5000, 0.8554)
B (0.5000, 0.5000, 0.4812)
C (0.5000, 0.5000, 0.1541)
B (0.5000, 0.0000, 0.9514)
B (0.0000, 0.5000, 0.3870)
C (0.0000, 0.0000, 0.3085)
B (0.5000, 0.0000, 0.2372)
B (0.0000, 0.5000, 0.7640)
C (0.0000, 0.0000, 0.0261)
B (0.0000, 0.0000, 0.6681)
B (0.5000, 0.0000, 0.5757)

The calculated volume comes out at 81.9 Å³ per cell. The calculation puts the energy at -7.11 eV per atom. The calculation puts the relative energy among the computed polymorphs at 227 meV per atom. Its space group is Pmm2, No. 25. The calculation puts the total magnetization at 0.000 μB per atom.

***

Q: Which DOS(E_F) values were calculated for the entries above? A: 1.46; 1.80; 1.82; 5.65; 1.20; 1.95; 4.14; 3.44; 3.37; 3.11; 0.50, in states/eV/f.u..